The following is a DFT calculation (GGA-PBE) of an optimized crystal structure of CrTcHgBi2.

Summary:
DFT formation energy = 1.17 eV/atom
space group = P4/mmm
final energy = -22.227 eV for the cell shown

Cell lengths 5.185, 5.147, 5.185 Å; angles 90.00, 90.00, 90.00 degrees
Atoms (fractional coordinates):
Tc1 0.500 0.500 0.500
Hg1 0.000 0.500 0.000
Bi1 0.500 0.000 0.000
Bi2 0.000 0.000 0.500
Cr1 0.000 0.000 0.000